Entry from Alexandria: crystalline BaZrF3 at its relaxed geometry (GGA-PBE).

It has space group Pm-3m (No. 221), with a = 4.586 Å, b = 4.586 Å, c = 4.586 Å, α = 90.00°, β = 90.00° and γ = 90.00°. The asymmetric unit holds Ba at (0.000, 0.000, 0.000), Zr at (0.500, 0.500, 0.500) and F at (0.000, 0.500, 0.500).

The value obtained for the volume is 96 Å³ per cell. The calculation puts the relative energy among the computed polymorphs at 0.000 eV per atom. The calculation puts the uncorrected formation energy at -1163.8 kJ/mol of formula units. The raw total energy comes out at -5.6294 eV per atom. The calculation puts the total moment at 2.8 μB/f.u.

=====

Entry from Alexandria: crystalline Ba3ZrF10 at its relaxed geometry (GGA-PBE).

It has space group Cmcm (No. 63), with a = 11.145 Å, b = 13.516 Å, c = 6.195 Å, α = 90.00°, β = 90.00° and γ = 90.00°. The asymmetric unit holds Ba at (0.000, 0.110, 0.250), Ba at (0.214, 0.389, 0.250), Zr at (0.000, 0.319, 0.750), F at (0.000, 0.396, 0.042), F at (0.117, 0.230, 0.540), F at (0.139, 0.000, 0.000) and F at (0.160, 0.405, 0.750).

The value obtained for the volume is 933 Å³ per cell. The calculation puts the uncorrected formation energy at -5214.1 kJ/mol of formula units. The raw total energy comes out at -6.2193 eV per atom. The calculation puts the total moment at 0.0 μB/f.u.

=====

Entry from Alexandria: crystalline BaZr2F10 at its relaxed geometry (GGA-PBE).

It has space group C2/c (No. 15), with a = 6.161 Å, b = 16.036 Å, c = 8.941 Å, α = 90.00°, β = 106.45° and γ = 90.00°. The asymmetric unit holds Ba at (0.000, 0.070, 0.250), Zr at (0.188, 0.345, 0.095), F at (0.000, 0.198, 0.750), F at (0.000, 0.303, 0.250), F at (0.112, 0.362, 0.563), F at (0.149, 0.209, 0.072), F at (0.187, 0.059, 0.006) and F at (0.237, 0.436, 0.255).

The value obtained for the volume is 847 Å³ per cell. The calculation puts the uncorrected formation energy at -4728.4 kJ/mol of formula units. The raw total energy comes out at -6.6722 eV per atom. The calculation puts the total moment at 0.1 μB/f.u.

=====

Entry from Alexandria: crystalline Ba2ZrF at its relaxed geometry (GGA-PBE).

It has space group Fm-3m (No. 225), with a = 8.337 Å, b = 8.337 Å, c = 8.337 Å, α = 90.00°, β = 90.00° and γ = 90.00°. The asymmetric unit holds Ba at (0.250, 0.250, 0.250), Zr at (0.000, 0.000, 0.000) and F at (0.000, 0.000, 0.500).

The value obtained for the volume is 580 Å³ per cell. The calculation puts the relative energy among the computed polymorphs at 0.567 eV per atom. The calculation puts the uncorrected formation energy at -41.5 kJ/mol of formula units. The raw total energy comes out at -3.6737 eV per atom. The calculation puts the total moment at 5.0 μB/f.u.